[1]
VASP calculation (GGA-PBE) on crystalline K2SnPt2O6 at its relaxed geometry.

abc: 5.9705 9.4824 6.6125
angles: 90.00 110.90 90.00
Closest atoms and distances in Å follow each position.
Space group C2/m (No. 12)
Asymmetric unit:
K  0.0000  0.1788  0.0000 x4  6 O 2.65-2.82
Sn  0.0000  0.0000  0.5000 x2  6 O 2.11-2.24
Pt  0.0000  0.3342  0.5000 x4  4 O 2.05-2.10
O  0.2022  0.1714  0.6770 x8  1 Pt 2.05, 1 Sn 2.11
O  0.2267  0.5000  0.6610 x4  2 Pt 2.10, 1 Sn 2.24

Calculated values
- Spin magnetization: 0.184 μB/atom
- E: -118.4 eV per cell
- Formation energy from raw total energies: -1.015 eV per atom

***

[2]
VASP calculation (GGA-PBE) on crystalline RbTcAg2Au at its relaxed geometry.

abc: 5.3364 5.3364 5.2726
angles: 90.00 90.00 90.00
Closest atoms and distances in Å follow each position.
Space group P4/mmm (No. 123)
Asymmetric unit:
Rb  0.0000  0.0000  0.0000 x1  8 Ag 3.75, 4 Au 3.77
Tc  0.5000  0.5000  0.5000 x1  2 Au 2.64, 4 Ag 2.67
Ag  0.0000  0.5000  0.5000 x2  2 Tc 2.67
Au  0.5000  0.5000  0.0000 x1  2 Tc 2.64

Calculated values
- Spin magnetization: 0.635 μB/atom
- E: -16.5 eV per cell
- ΔH_f (0 K): 0.76 eV/atom

***

[3]
VASP calculation (GGA-PBE) on crystalline NiAgTe4 at its relaxed geometry.

abc: 8.8838 8.8838 8.8838
angles: 90.00 90.00 90.00
Closest atoms and distances in Å follow each position.
Space group F-43m (No. 216)
Asymmetric unit:
Ni  0.0000  0.0000  0.0000 x4  12 Te 3.68, 4 Ag 3.85
Ag  0.2500  0.2500  0.2500 x4  12 Te 3.68, 4 Ni 3.85
Te  0.1253  0.1253  0.6253 x16  6 Te 3.13-3.15

Calculated values
- Spin magnetization: 0.208 μB/atom
- E: -63.6 eV per cell
- Formation energy from raw total energies: 0.884 eV per atom

***

[4]
VASP calculation (GGA-PBE) on crystalline La2CrMo at its relaxed geometry.

abc: 7.1598 7.1598 7.1598
angles: 90.00 90.00 90.00
Closest atoms and distances in Å follow each position.
Space group F-43m (No. 216)
Asymmetric unit:
La  0.0000  0.0000  0.0000 x4  4 La 3.10, 4 Mo 3.10
La  0.2500  0.2500  0.2500 x4  4 Cr 3.10, 4 La 3.10
Cr  0.0000  0.0000  0.5000 x4  4 La 3.10, 4 Mo 3.10
Mo  0.2500  0.2500  0.7500 x4  4 La 3.10, 4 Cr 3.10

Calculated values
- Distance to the lowest polymorph of the same formula: 267.5 meV per atom
- Spin magnetization: 0.654 μB/atom
- E: -111.3 eV per cell
- ΔH_f (0 K): 0.62 eV/atom

***

Summary of D(E_F) in states/eV per cell
0.3, 3.2, 52.7, 17.7
(order as listed above)
Summary of V in Å³ per atom
15.90, 30.03, 29.21, 22.94
(order as listed above)